Entry 1:
{"formula": "YGaTc2Au", "functional": "PBE", "state": "relaxed", "lattice": [[4.883, 0.000, 0.000], [0.000, 4.883, 0.000], [0.000, 0.000, 5.263]], "species": ["Y", "Ga", "Tc", "Tc", "Au"], "fractional_positions": [[0.000, 0.000, 0.000], [0.500, 0.500, 0.000], [0.000, 0.500, 0.500], [0.500, 0.000, 0.500], [0.000, 0.000, 0.500]], "formation_energy_ev_per_atom": 1.326}



Entry 2:
{"formula": "ZrGaTc2Au", "functional": "PBE", "state": "relaxed", "lattice": [[4.620, 0.000, 0.000], [0.000, 4.620, 0.000], [0.000, 0.000, 4.551]], "species": ["Zr", "Ga", "Tc", "Tc", "Au"], "fractional_positions": [[0.000, 0.000, 0.000], [0.500, 0.500, 0.500], [0.000, 0.500, 0.500], [0.500, 0.000, 0.500], [0.500, 0.500, 0.000]], "formation_energy_ev_per_atom": 0.740}



Entry 3:
{"formula": "GaTe2Au", "functional": "PBE", "state": "relaxed", "lattice": [[1.659, -13.614, 0.000], [1.659, 13.614, 0.000], [0.000, 0.000, 4.815]], "species": ["Ga", "Ga", "Te", "Te", "Te", "Te", "Au", "Au"], "fractional_positions": [[0.207, 0.793, 0.750], [0.793, 0.207, 0.250], [0.315, 0.685, 0.750], [0.421, 0.579, 0.250], [0.579, 0.421, 0.750], [0.685, 0.315, 0.250], [0.472, 0.528, 0.750], [0.528, 0.472, 0.250]], "formation_energy_uncorrected_ev_per_atom": -0.011}



Entry 4:
{"formula": "Ga3Te5Au12", "functional": "PBE", "state": "relaxed", "lattice": [[-7.908, 7.908, 7.908], [7.908, -7.908, 7.908], [7.908, 7.908, -7.908]], "species": ["Ga", "Ga", "Ga", "Ga", "Ga", "Ga", "Ga", "Ga", "Ga", "Ga", "Ga", "Ga", "Te", "Te", "Te", "Te", "Te", "Te", "Te", "Te", "Te", "Te", "Te", "Te", "Te", "Te", "Te", "Te", "Te", "Te", "Te", "Te", "Au", "Au", "Au", "Au", "Au", "Au", "Au", "Au", "Au", "Au", "Au", "Au", "Au", "Au", "Au", "Au", "Au", "Au", "Au", "Au", "Au", "Au", "Au", "Au", "Au", "Au", "Au", "Au", "Au", "Au", "Au", "Au", "Au", "Au", "Au", "Au", "Au", "Au", "Au", "Au", "Au", "Au", "Au", "Au", "Au", "Au", "Au", "Au"], "fractional_positions": [[0.125, 0.250, 0.375], [0.125, 0.375, 0.750], [0.250, 0.375, 0.125], [0.250, 0.875, 0.625], [0.375, 0.125, 0.250], [0.375, 0.750, 0.125], [0.625, 0.250, 0.875], [0.625, 0.875, 0.750], [0.750, 0.125, 0.375], [0.750, 0.625, 0.875], [0.875, 0.625, 0.250], [0.875, 0.750, 0.625], [0.000, 0.000, 0.000], [0.000, 0.000, 0.500], [0.000, 0.500, 0.000], [0.000, 0.500, 0.500], [0.125, 0.750, 0.875], [0.125, 0.875, 0.250], [0.250, 0.125, 0.875], [0.250, 0.625, 0.375], [0.375, 0.250, 0.625], [0.375, 0.625, 0.750], [0.500, 0.000, 0.000], [0.500, 0.000, 0.500], [0.500, 0.500, 0.000], [0.500, 0.500, 0.500], [0.625, 0.375, 0.250], [0.625, 0.750, 0.375], [0.750, 0.375, 0.625], [0.750, 0.875, 0.125], [0.875, 0.125, 0.750], [0.875, 0.250, 0.125], [0.062, 0.634, 0.394], [0.062, 0.927, 0.668], [0.073, 0.241, 0.134], [0.073, 0.332, 0.938], [0.106, 0.741, 0.668], [0.106, 0.866, 0.438], [0.134, 0.073, 0.241], [0.134, 0.562, 0.894], [0.168, 0.241, 0.606], [0.168, 0.427, 0.562], [0.241, 0.134, 0.073], [0.241, 0.606, 0.168], [0.259, 0.332, 0.894], [0.259, 0.427, 0.366], [0.332, 0.894, 0.259], [0.332, 0.938, 0.073], [0.366, 0.259, 0.427], [0.366, 0.606, 0.938], [0.394, 0.062, 0.634], [0.394, 0.832, 0.759], [0.427, 0.366, 0.259], [0.427, 0.562, 0.168], [0.438, 0.106, 0.866], [0.438, 0.832, 0.573], [0.562, 0.168, 0.427], [0.562, 0.894, 0.134], [0.573, 0.438, 0.832], [0.573, 0.634, 0.741], [0.606, 0.168, 0.241], [0.606, 0.938, 0.366], [0.634, 0.394, 0.062], [0.634, 0.741, 0.573], [0.668, 0.062, 0.927], [0.668, 0.106, 0.741], [0.741, 0.573, 0.634], [0.741, 0.668, 0.106], [0.759, 0.394, 0.832], [0.759, 0.866, 0.927], [0.832, 0.573, 0.438], [0.832, 0.759, 0.394], [0.866, 0.438, 0.106], [0.866, 0.927, 0.759], [0.894, 0.134, 0.562], [0.894, 0.259, 0.332], [0.927, 0.668, 0.062], [0.927, 0.759, 0.866], [0.938, 0.073, 0.332], [0.938, 0.366, 0.606]], "formation_energy_uncorrected_ev_per_atom": 0.018}



Entry 5:
{"formula": "GaTe2Au", "functional": "PBE", "state": "relaxed", "lattice": [[7.421, 0.000, 0.000], [0.000, 4.036, 0.000], [0.000, 0.000, 14.863]], "species": ["Ga", "Ga", "Ga", "Ga", "Te", "Te", "Te", "Te", "Te", "Te", "Te", "Te", "Au", "Au", "Au", "Au"], "fractional_positions": [[0.053, 0.250, 0.101], [0.447, 0.750, 0.601], [0.553, 0.250, 0.399], [0.947, 0.750, 0.899], [0.071, 0.250, 0.784], [0.230, 0.250, 0.503], [0.270, 0.750, 0.003], [0.429, 0.750, 0.284], [0.571, 0.250, 0.716], [0.730, 0.250, 0.997], [0.770, 0.750, 0.497], [0.929, 0.750, 0.216], [0.097, 0.750, 0.381], [0.403, 0.250, 0.881], [0.597, 0.750, 0.119], [0.903, 0.250, 0.619]], "formation_energy_uncorrected_ev_per_atom": -0.066}



Entry 6:
{"formula": "GaTe2Au", "functional": "PBE", "state": "relaxed", "lattice": [[4.421, 0.000, 0.000], [0.001, 7.538, 0.000], [2.205, 1.293, 7.289]], "species": ["Ga", "Ga", "Te", "Te", "Te", "Te", "Au", "Au"], "fractional_positions": [[0.000, 0.000, 0.000], [0.498, 0.515, 0.003], [0.179, 0.007, 0.640], [0.418, 0.818, 0.165], [0.679, 0.619, 0.639], [0.927, 0.315, 0.146], [0.196, 0.426, 0.604], [0.713, 0.213, 0.571]], "formation_energy_uncorrected_ev_per_atom": -0.191}



Entry 7:
{"formula": "GaTe4Au", "functional": "PBE", "state": "relaxed", "lattice": [[6.553, -2.067, 0.000], [6.553, 2.067, 0.000], [-4.033, 0.000, 6.102]], "species": ["Ga", "Te", "Te", "Te", "Te", "Au"], "fractional_positions": [[0.000, 0.000, 0.000], [0.155, 0.155, 0.470], [0.368, 0.368, 0.055], [0.632, 0.632, 0.945], [0.845, 0.845, 0.530], [0.500, 0.500, 0.500]], "formation_energy_uncorrected_ev_per_atom": -0.098}



Entry 8:
{"formula": "GaTe2Au2", "functional": "PBE", "state": "relaxed", "lattice": [[8.005, 0.000, 0.000], [0.000, 8.005, 0.000], [0.000, 0.000, 3.854]], "species": ["Ga", "Ga", "Te", "Te", "Te", "Te", "Au", "Au", "Au", "Au"], "fractional_positions": [[0.000, 0.000, 0.000], [0.500, 0.500, 0.000], [0.190, 0.310, 0.000], [0.310, 0.810, 0.000], [0.690, 0.190, 0.000], [0.810, 0.690, 0.000], [0.123, 0.623, 0.500], [0.377, 0.123, 0.500], [0.623, 0.877, 0.500], [0.877, 0.377, 0.500]], "formation_energy_uncorrected_ev_per_atom": 0.129}



no.,magnetic moment (Bohr magnetons per cell),density (Mg/m³)
1,3.57,7.30
2,1.19,9.47
3,0.00,7.97
4,0.00,10.78
5,0.00,7.79
6,0.00,7.14
7,0.00,7.81
8,0.00,9.67